Record 1
DFT (PBE) results for K2RbCd after structural relaxation.

Cell and atoms, written as CIF:
```
data_K2RbCd
_chemical_formula_sum 'K2 Rb1 Cd1'
_cell_length_a 15.649
_cell_length_b 15.649
_cell_length_c 15.649
_cell_angle_alpha 16.72
_cell_angle_beta 16.72
_cell_angle_gamma 16.72
_space_group_name_H-M_alt 'P 1'
_space_group_IT_number 1
loop_
_space_group_symop_operation_xyz
'x,y,z'
loop_
_atom_site_label
_atom_site_type_symbol
_atom_site_fract_x
_atom_site_fract_y
_atom_site_fract_z
K1 K 0.079 0.079 0.079
K2 K 0.921 0.921 0.921
Rb1 Rb 0.500 0.500 0.500
Cd1 Cd 0.000 0.000 0.000
```

Values from the calculation:
Space-group type: R-3m
Formation enthalpy at 0 K: 165.6 meV/atom
ΔE to the lowest computed polymorph: 161 meV/atom
M_tot: 0.00 μB/f.u.
Theoretical density: 1.66 g/cm3

=====

Record 2
DFT (PBE) results for K3Rb3Cd4 after structural relaxation.

Cell and atoms, written as CIF:
```
data_K3Rb3Cd4
_chemical_formula_sum 'K3 Rb3 Cd4'
_cell_length_a 5.262
_cell_length_b 9.683
_cell_length_c 9.683
_cell_angle_alpha 89.47
_cell_angle_beta 90.00
_cell_angle_gamma 90.00
_space_group_name_H-M_alt 'P 1'
_space_group_IT_number 1
loop_
_space_group_symop_operation_xyz
'x,y,z'
loop_
_atom_site_label
_atom_site_type_symbol
_atom_site_fract_x
_atom_site_fract_y
_atom_site_fract_z
K1 K 0.000 0.000 0.000
K2 K 0.000 0.503 0.844
K3 K 0.000 0.844 0.503
Rb1 Rb 0.000 0.345 0.345
Rb2 Rb 0.500 0.172 0.673
Rb3 Rb 0.500 0.673 0.172
Cd1 Cd 0.500 0.058 0.278
Cd2 Cd 0.500 0.278 0.058
Cd3 Cd 0.500 0.568 0.568
Cd4 Cd 0.500 0.784 0.784
```

Values from the calculation:
Space-group type: Amm2
Formation enthalpy at 0 K: -23.5 meV/atom
M_tot: 0.00 μB/f.u.
Theoretical density: 2.77 g/cm3

=====

Record 3
DFT (PBE) results for K10Rb6Cd after structural relaxation.

Cell and atoms, written as CIF:
```
data_K10Rb6Cd
_chemical_formula_sum 'K10 Rb6 Cd1'
_cell_length_a 13.116
_cell_length_b 13.116
_cell_length_c 8.709
_cell_angle_alpha 90.00
_cell_angle_beta 90.00
_cell_angle_gamma 120.00
_space_group_name_H-M_alt 'P 1'
_space_group_IT_number 1
loop_
_space_group_symop_operation_xyz
'x,y,z'
loop_
_atom_site_label
_atom_site_type_symbol
_atom_site_fract_x
_atom_site_fract_y
_atom_site_fract_z
K1 K 0.000 0.224 0.244
K2 K 0.000 0.776 0.756
K3 K 0.224 0.000 0.244
K4 K 0.224 0.224 0.756
K5 K 0.333 0.667 0.000
K6 K 0.333 0.667 0.500
K7 K 0.667 0.333 0.000
K8 K 0.667 0.333 0.500
K9 K 0.776 0.000 0.756
K10 K 0.776 0.776 0.244
Rb1 Rb 0.000 0.396 0.745
Rb2 Rb 0.000 0.604 0.255
Rb3 Rb 0.396 0.000 0.745
Rb4 Rb 0.396 0.396 0.255
Rb5 Rb 0.604 0.000 0.255
Rb6 Rb 0.604 0.604 0.745
Cd1 Cd 0.000 0.000 0.500
```

Values from the calculation:
Space-group type: P-31m
Formation enthalpy at 0 K: 32.8 meV/atom
M_tot: 0.00 μB/f.u.
Theoretical density: 1.30 g/cm3

=====

Record 4
DFT (PBE) results for K12Rb2Cd after structural relaxation.

Cell and atoms, written as CIF:
```
data_K12Rb2Cd
_chemical_formula_sum 'K24 Rb4 Cd2'
_cell_length_a 8.662
_cell_length_b 8.662
_cell_length_c 29.933
_cell_angle_alpha 90.00
_cell_angle_beta 90.00
_cell_angle_gamma 90.00
_space_group_name_H-M_alt 'P 1'
_space_group_IT_number 1
loop_
_space_group_symop_operation_xyz
'x,y,z'
loop_
_atom_site_label
_atom_site_type_symbol
_atom_site_fract_x
_atom_site_fract_y
_atom_site_fract_z
K1 K 0.000 0.000 0.071
K2 K 0.000 0.000 0.929
K3 K 0.000 0.500 0.071
K4 K 0.000 0.500 0.929
K5 K 0.074 0.574 0.433
K6 K 0.074 0.926 0.567
K7 K 0.250 0.250 0.182
K8 K 0.250 0.250 0.325
K9 K 0.250 0.250 0.675
K10 K 0.250 0.250 0.818
K11 K 0.426 0.574 0.567
K12 K 0.426 0.926 0.433
K13 K 0.500 0.000 0.071
K14 K 0.500 0.000 0.929
K15 K 0.500 0.500 0.071
K16 K 0.500 0.500 0.929
K17 K 0.574 0.074 0.567
K18 K 0.574 0.426 0.433
K19 K 0.750 0.750 0.182
K20 K 0.750 0.750 0.325
K21 K 0.750 0.750 0.675
K22 K 0.750 0.750 0.818
K23 K 0.926 0.074 0.433
K24 K 0.926 0.426 0.567
Rb1 Rb 0.250 0.750 0.250
Rb2 Rb 0.250 0.750 0.750
Rb3 Rb 0.750 0.250 0.250
Rb4 Rb 0.750 0.250 0.750
Cd1 Cd 0.250 0.750 0.000
Cd2 Cd 0.750 0.250 0.000
```

Values from the calculation:
Space-group type: P4/nbm
Formation enthalpy at 0 K: 47.9 meV/atom
M_tot: 0.00 μB/f.u.
Theoretical density: 1.11 g/cm3

=====

- What is the formation enthalpy at 0 K in the fourth record?
  47.9 meV/atom